## NdCd2MoO6 (PBE+U)

Data for crystalline NdCd2MoO6 at its relaxed geometry.

Cell and atoms, written as POSCAR:
```
NdCd2MoO6
1.0
5.700 -0.024 -0.045
2.830 4.984 0.011
2.802 1.688 4.999
Nd Cd Mo O
1 2 1 6
Cartesian
8.553 4.969 2.825 Nd
5.708 3.359 1.951 Cd
2.821 1.637 4.479 Cd
2.871 1.671 0.232 Mo
4.452 1.502 1.261 O
4.619 5.258 1.276 O
7.823 3.256 1.171 O
6.492 4.661 3.881 O
6.374 1.899 3.901 O
4.106 3.380 3.936 O
```

Calculated values
E_tot: -6.16 eV per atom
Crystal system: triclinic
Symmetry: P1 (1)